(1)
Material: Li5Ca6Hg
Method: DFT, PBE
State: optimized geometry

Output
* total energy: -1.913 eV/atom
* space group: Immm

Cell: 5.555 7.869 9.559 Å, 114.31 106.89 90.00°
Sites, in units of the cell vectors:
Ca1 0.162 0.405 0.324
Li1 0.333 0.333 0.667
Ca2 0.838 0.595 0.676
Hg1 0.000 0.000 0.000
Ca3 0.838 0.082 0.676
Ca4 0.500 0.237 0.000
Ca5 0.500 0.763 0.000
Li2 0.328 0.828 0.655
Ca6 0.162 0.918 0.324
Li3 0.672 0.172 0.345
Li4 0.667 0.667 0.333
Li5 0.000 0.500 0.000



(2)
Material: LiCa2Hg
Method: DFT, PBE
State: optimized geometry

Output
* total energy: -1.813 eV/atom
* space group: P4mm

Cell: 3.758 3.758 8.115 Å, 90.00 90.00 90.00°
Sites, in units of the cell vectors:
Hg1 0.000 0.000 0.542
Li1 0.500 0.500 0.697
Ca1 0.500 0.500 0.308
Ca2 0.000 0.000 0.952



(3)
Material: Li6Ca17Hg9
Method: DFT, PBE
State: optimized geometry

Output
* total energy: -1.864 eV/atom
* space group: Im-3m

Cell: 13.550 13.550 13.550 Å, 109.47 109.47 109.47°
Sites, in units of the cell vectors:
Li1 0.000 0.848 0.152
Hg1 0.246 0.246 0.000
Ca1 0.190 0.190 0.736
Li2 0.152 0.000 0.848
Hg2 0.293 0.587 0.293
Ca2 0.546 0.810 0.000
Ca3 0.454 0.190 0.000
Li3 0.304 0.152 0.152
Ca4 0.000 0.190 0.454
Ca5 0.454 0.454 0.264
Hg3 0.707 0.293 0.000
Li4 0.152 0.848 0.000
Ca6 0.454 0.264 0.454
Hg4 0.000 0.707 0.293
Hg5 0.000 0.754 0.754
Ca7 0.190 0.736 0.190
Ca8 0.546 0.736 0.546
Ca9 0.250 0.500 0.750
Li5 0.848 0.152 0.000
Ca10 0.250 0.750 0.500
Ca11 0.000 0.000 0.000
Hg6 0.000 0.293 0.707
Li6 0.696 0.848 0.848
Li7 0.848 0.696 0.848
Hg7 0.707 0.413 0.707
Ca12 0.736 0.546 0.546
Ca13 0.264 0.454 0.454
Ca14 0.190 0.000 0.454
Li8 0.848 0.848 0.696
Hg8 0.587 0.293 0.293
Ca15 0.500 0.500 0.000
Ca16 0.810 0.000 0.546
Ca17 0.750 0.500 0.250
Hg9 0.000 0.246 0.246
Li9 0.152 0.304 0.152
Ca18 0.810 0.264 0.810
Hg10 0.707 0.000 0.293
Hg11 0.754 0.000 0.754
Ca19 0.000 0.810 0.546
Ca20 0.500 0.750 0.250
Ca21 0.000 0.546 0.810
Hg12 0.246 0.000 0.246
Ca22 0.546 0.000 0.810
Ca23 0.500 0.250 0.750
Hg13 0.413 0.707 0.707
Ca24 0.000 0.454 0.190
Li10 0.000 0.152 0.848
Hg14 0.754 0.754 0.000
Ca25 0.750 0.250 0.500
Li11 0.848 0.000 0.152
Ca26 0.500 0.000 0.500
Ca27 0.810 0.546 0.000
Hg15 0.293 0.707 0.000
Ca28 0.264 0.810 0.810
Ca29 0.190 0.454 0.000
Ca30 0.810 0.810 0.264
Ca31 0.000 0.500 0.500
Hg16 0.293 0.293 0.587
Li12 0.152 0.152 0.304
Hg17 0.293 0.000 0.707
Ca32 0.736 0.190 0.190
Hg18 0.707 0.707 0.413
Ca33 0.546 0.546 0.736
Ca34 0.454 0.000 0.190



(4)
Material: LiCaHg3
Method: DFT, PBE
State: optimized geometry

Output
* total energy: -1.279 eV/atom
* space group: C2/m

Cell: 4.816 4.360 12.169 Å, 100.32 100.57 90.00°
Sites, in units of the cell vectors:
Ca1 0.165 0.414 0.829
Li1 0.609 0.858 0.715
Hg1 0.941 0.196 0.391
Hg2 0.719 0.967 0.933
Hg3 0.552 0.298 0.596
Hg4 0.059 0.804 0.609
Ca2 0.835 0.586 0.171
Hg5 0.448 0.702 0.404
Hg6 0.281 0.033 0.067
Li2 0.391 0.142 0.285



So what do the calculations give for formation enthalpy at 0 K? Going down the list: -90; -259; -357; -315 meV/atom.